Record 1
Computed, not measured: KBa2Sr at its PBEsol-relaxed geometry at the SCAN level of DFT.

Output
ΔE_f ... 54 meV per atom
Relative energy among the computed polymorphs ... 0 meV/atom
VASP energy ... -218.98 eV per cell

abc: 4.686 6.992 14.346
angles: 90.00 90.00 90.00
Space group Cmmm (No. 65)
Symmetry-distinct sites (fractional):
K 0.000 0.000 0.000 [2 per cell]
Ba 0.000 0.500 0.262 [4 per cell]
Sr 0.000 0.000 0.500 [2 per cell]

=====

Record 2
Computed, not measured: ScAgPt2 at its PBEsol-relaxed geometry at the SCAN level of DFT.

Output
ΔE_f ... -928 meV per atom
VASP energy ... -189.70 eV per cell

abc: 4.059 4.059 3.855
angles: 90.00 90.00 90.00
Space group P4/mmm (No. 123)
Symmetry-distinct sites (fractional):
Sc 0.000 0.000 0.000 [1 per cell]
Ag 0.500 0.500 0.000 [1 per cell]
Pt 0.000 0.500 0.500 [2 per cell]

=====

Record 3
Computed, not measured: Ga4Bi3As at its PBEsol-relaxed geometry at the SCAN level of DFT.

Output
ΔE_f ... -45 meV per atom
VASP energy ... -965.02 eV per cell

abc: 4.3599 4.3599 42.9252
angles: 90.00 90.00 120.00
Space group R3m (No. 160, hexagonal axes)
Symmetry-distinct sites (fractional):
Ga 0.0000 0.0000 0.0000 [3 per cell]
Ga 0.0000 0.0000 0.2463 [3 per cell]
Ga 0.0000 0.0000 0.4927 [3 per cell]
Ga 0.0000 0.0000 0.7394 [3 per cell]
Bi 0.0000 0.0000 0.1826 [3 per cell]
Bi 0.0000 0.0000 0.4293 [3 per cell]
Bi 0.0000 0.0000 0.9358 [3 per cell]
As 0.0000 0.0000 0.6821 [3 per cell]

=====

Record 4
Computed, not measured: Ba2Au at its PBEsol-relaxed geometry at the SCAN level of DFT.

Output
ΔE_f ... -612 meV per atom
VASP energy ... -600.38 eV per cell

abc: 7.996 7.996 7.996
angles: 90.00 90.00 90.00
Space group Pa-3 (No. 205)
Symmetry-distinct sites (fractional):
Ba 0.168 0.168 0.168 [8 per cell]
Au 0.000 0.000 0.500 [4 per cell]

=====

Record 5
Computed, not measured: LiV2N3 at its PBEsol-relaxed geometry at the SCAN level of DFT.

Output
VASP energy ... -288.69 eV per cell
Formation energy without anion corrections ... -669 kJ/mol of formula units

abc: 9.955 5.872 4.049
angles: 90.00 90.00 90.00
Space group Cmcm (No. 63)
Symmetry-distinct sites (fractional):
Li 0.000 0.151 0.250 [4 per cell]
V 0.165 0.340 0.750 [8 per cell]
N 0.000 0.211 0.750 [4 per cell]
N 0.176 0.340 0.250 [8 per cell]

=====

Record 6
Computed, not measured: K3BPb at its PBEsol-relaxed geometry at the SCAN level of DFT.

Output
ΔE_f ... 1071 meV per atom
VASP energy ... -102.84 eV per cell

abc: 6.692 6.692 6.692
angles: 90.00 90.00 90.00
Space group Pm-3m (No. 221)
Symmetry-distinct sites (fractional):
K 0.000 0.000 0.500 [3 per cell]
B 0.500 0.500 0.500 [1 per cell]
Pb 0.000 0.000 0.000 [1 per cell]

=====

Record 7
Computed, not measured: Rb3CO3F at its PBEsol-relaxed geometry at the SCAN level of DFT.

Output
VASP energy ... -669.61 eV per cell
Formation energy without anion corrections ... -1645 kJ/mol of formula units

abc: 7.7995 7.7995 16.8564
angles: 90.00 90.00 120.00
Space group R-3c (No. 167, hexagonal axes)
Symmetry-distinct sites (fractional):
Rb 0.0000 0.4243 0.2500 [18 per cell]
C 0.0000 0.0000 0.2500 [6 per cell]
O 0.0000 0.1673 0.7500 [18 per cell]
F 0.0000 0.0000 0.0000 [6 per cell]

=====

Record 8
Computed, not measured: IrRu3 at its PBEsol-relaxed geometry at the SCAN level of DFT.

Output
ΔE_f ... 13 meV per atom
VASP energy ... -351.05 eV per cell

abc: 3.781 3.781 7.558
angles: 90.00 90.00 90.00
Space group I4/mmm (No. 139)
Symmetry-distinct sites (fractional):
Ir 0.000 0.000 0.000 [2 per cell]
Ru 0.000 0.000 0.500 [2 per cell]
Ru 0.000 0.500 0.250 [4 per cell]